[1]
Here is crystalline La2Er7 at its relaxed geometry from Alexandria. Energies are from PBE.

```
La2Er7
1.0
6.178 0.000 0.000
-3.089 5.350 0.000
0.000 0.000 8.703
La Er
2 7
Direct
0.333 0.667 0.000
0.667 0.333 0.000
0.000 0.000 0.000
0.000 0.332 0.662
0.000 0.668 0.338
0.332 0.000 0.662
0.332 0.332 0.338
0.668 0.000 0.338
0.668 0.668 0.662
```

## Properties
**Space-group type**: P-31m (162)

[2]
Here is crystalline La4Er5 at its relaxed geometry from Alexandria. Energies are from PBE.

```
La4Er5
1.0
-5.410 5.410 2.561
5.410 -5.410 2.561
5.410 5.410 -2.561
La Er
4 5
Direct
0.167 0.167 0.334
0.167 0.833 0.000
0.833 0.167 0.000
0.833 0.833 0.666
0.163 0.500 0.663
0.500 0.163 0.663
0.500 0.500 0.000
0.500 0.837 0.337
0.837 0.500 0.337
```

## Properties
**Space-group type**: I4/mmm (139)

[3]
Here is crystalline LaEr3 at its relaxed geometry from Alexandria. Energies are from PBE.

```
LaEr3
1.0
0.000 4.029 4.029
4.029 0.000 4.029
4.029 4.029 0.000
La Er
1 3
Direct
0.000 0.000 0.000
0.250 0.250 0.250
0.500 0.500 0.500
0.750 0.750 0.750
```

## Properties
**Space-group type**: Fm-3m (225)

[4]
Here is crystalline La6Er5 at its relaxed geometry from Alexandria. Energies are from PBE.

```
La6Er5
1.0
5.337 -7.064 0.000
5.337 7.064 0.000
-3.017 0.000 5.033
La Er
6 5
Direct
0.047 0.339 0.672
0.174 0.174 0.134
0.339 0.047 0.672
0.661 0.953 0.328
0.826 0.826 0.866
0.953 0.661 0.328
0.224 0.776 0.000
0.364 0.636 0.500
0.500 0.500 0.000
0.636 0.364 0.500
0.776 0.224 0.000
```

## Properties
**Space-group type**: C2/m (12)

[5]
Here is crystalline LaEr3 at its relaxed geometry from Alexandria. Energies are from PBE.

```
LaEr3
1.0
-2.537 2.537 5.021
2.537 -2.537 5.021
2.537 2.537 -5.021
La Er
1 3
Direct
0.000 0.000 0.000
0.250 0.750 0.500
0.500 0.500 0.000
0.750 0.250 0.500
```

## Properties
**Space-group type**: I4/mmm (139)

[6]
Here is crystalline La4Er at its relaxed geometry from Alexandria. Energies are from PBE.

```
La4Er
1.0
5.941 0.000 0.000
0.000 5.941 0.000
0.000 0.000 5.941
La Er
4 1
Direct
0.000 0.000 0.000
0.000 0.500 0.500
0.500 0.000 0.500
0.500 0.500 0.000
0.500 0.500 0.500
```

## Properties
**Space-group type**: Pm-3m (221)

Computed formation energy, in the same sequence as the records: 0.027; 0.034; 0.114; 0.128; 0.040; 0.574 eV/atom.
Computed total magnetization, in the same sequence as the records: 0.0; 0.0; 0.0; 0.0; 0.0; 0.3 μB/f.u..